No. 1
{"formula": "Ho4Sb3Te", "functional": "PBE", "state": "optimized geometry", "e_above_lowest_polymorph_ev_per_atom": 0.010, "magmom_total_mub_per_cell": 0.0, "spacegroup": "No. 221", "lattice": [[6.1636, 0.0000, 0.0000], [0.0000, 6.1636, 0.0000], [0.0000, 0.0000, 6.1636]], "species": ["Ho", "Ho", "Ho", "Ho", "Sb", "Sb", "Sb", "Te"], "fractional_positions": [[0.0000, 0.0000, 0.0000], [0.0000, 0.5000, 0.5000], [0.5000, 0.0000, 0.5000], [0.5000, 0.5000, 0.0000], [0.0000, 0.0000, 0.5000], [0.0000, 0.5000, 0.0000], [0.5000, 0.0000, 0.0000], [0.5000, 0.5000, 0.5000]]}

***

No. 2
{"formula": "Ho2SbTe", "functional": "PBE", "state": "optimized geometry", "e_above_lowest_polymorph_ev_per_atom": 0.002, "magmom_total_mub_per_cell": 0.0, "spacegroup": "No. 53", "lattice": [[6.1473, 0.0000, 0.0000], [0.0000, 6.1475, 0.0000], [0.0000, 0.0000, 12.3643]], "species": ["Ho", "Ho", "Ho", "Ho", "Ho", "Ho", "Ho", "Ho", "Sb", "Sb", "Sb", "Sb", "Te", "Te", "Te", "Te"], "fractional_positions": [[0.0000, 0.2494, 0.1194], [0.0000, 0.2513, 0.6307], [0.0000, 0.7487, 0.3693], [0.0000, 0.7506, 0.8806], [0.5000, 0.2494, 0.3806], [0.5000, 0.2513, 0.8693], [0.5000, 0.7487, 0.1307], [0.5000, 0.7506, 0.6194], [0.0000, 0.2506, 0.8750], [0.0000, 0.7494, 0.1250], [0.5000, 0.2506, 0.6250], [0.5000, 0.7494, 0.3750], [0.0000, 0.2488, 0.3750], [0.0000, 0.7512, 0.6250], [0.5000, 0.2488, 0.1250], [0.5000, 0.7512, 0.8750]]}

***

No. 3
{"formula": "Ho6Sb2Te", "functional": "PBE", "state": "optimized geometry", "magmom_total_mub_per_cell": 0.0, "spacegroup": "No. 14", "lattice": [[6.5108, 0.0000, 0.0000], [0.0000, 8.0763, 0.0000], [-6.2847, 0.0000, 10.0902]], "species": ["Ho", "Ho", "Ho", "Ho", "Ho", "Ho", "Ho", "Ho", "Ho", "Ho", "Ho", "Ho", "Sb", "Sb", "Sb", "Sb", "Te", "Te"], "fractional_positions": [[0.0672, 0.1978, 0.4436], [0.0672, 0.3022, 0.9436], [0.3021, 0.6576, 0.4439], [0.3021, 0.8424, 0.9439], [0.3671, 0.0332, 0.2205], [0.3671, 0.4668, 0.7205], [0.6329, 0.5332, 0.2795], [0.6329, 0.9668, 0.7795], [0.6979, 0.1576, 0.0561], [0.6979, 0.3424, 0.5561], [0.9328, 0.6978, 0.0564], [0.9328, 0.8022, 0.5564], [0.1626, 0.1233, 0.7408], [0.1626, 0.3767, 0.2408], [0.8374, 0.6233, 0.7592], [0.8374, 0.8767, 0.2592], [0.5000, 0.0000, 0.5000], [0.5000, 0.5000, 0.0000]]}

***

No. 4
{"formula": "Ho2SbTe", "functional": "PBE", "state": "optimized geometry", "e_above_lowest_polymorph_ev_per_atom": 0.000, "magmom_total_mub_per_cell": 0.0, "spacegroup": "No. 166", "lattice": [[2.1779, 1.2574, 7.1189], [-2.1779, 1.2574, 7.1189], [0.0000, -2.5148, 7.1189]], "species": ["Ho", "Ho", "Sb", "Te"], "fractional_positions": [[0.2460, 0.2460, 0.2460], [0.7540, 0.7540, 0.7540], [0.5000, 0.5000, 0.5000], [0.0000, 0.0000, 0.0000]]}

***

Computed values of formation energy from raw total energies (unit: eV/atom) for the preceding records, in sequence: -1.18; -1.22; -0.72; -1.23.